Density functional theory data (PBE) for crystalline SiO2 at its relaxed geometry.

Unit cell a=5.1780 b=5.1780 c=6.8052 alpha=81.50 beta=81.50 gamma=96.43
Fractional coordinates of all 12 atoms:
O 0.0820 0.7078 0.3227
O 0.4666 0.5334 0.5000
Si 0.9963 0.9913 0.2371
Si 0.5548 0.8158 0.5695
O 0.2041 0.2374 0.2711
O 0.2922 0.9180 0.6773
O 0.9890 0.2951 0.6383
Si 0.1842 0.4452 0.4305
O 0.7049 0.0110 0.3617
O 0.7626 0.7959 0.7289
Si 0.0087 0.0037 0.7629
O 0.9865 0.0135 0.0000

Calculated values
Total moment: 0.00 μB per atom
Uncorrected energy: -7.8441 eV/atom


Density functional theory data (PBE) for crystalline SiO2 at its relaxed geometry.

Unit cell a=7.6928 b=7.6928 c=7.6928 alpha=110.52 beta=110.52 gamma=110.52
Fractional coordinates of all 18 atoms:
Si 0.2189 0.9506 0.7324
O 0.2145 0.5319 0.9563
O 0.9563 0.2145 0.5319
O 0.8438 0.1696 0.8100
O 0.0437 0.7855 0.4681
Si 0.0494 0.2676 0.7811
Si 0.7324 0.2189 0.9506
O 0.5319 0.9563 0.2145
O 0.7855 0.4681 0.0437
Si 0.2676 0.7811 0.0494
O 0.1562 0.8304 0.1900
O 0.8304 0.1900 0.1562
O 0.1900 0.1562 0.8304
O 0.8100 0.8438 0.1696
O 0.4681 0.0437 0.7855
O 0.1696 0.8100 0.8438
Si 0.7811 0.0494 0.2676
Si 0.9506 0.7324 0.2189

Calculated values
Total moment: 0.00 μB per atom
Uncorrected energy: -7.9073 eV/atom


Density functional theory data (PBE) for crystalline SiO2 at its relaxed geometry.

Unit cell a=2.7018 b=2.7018 c=15.4603 alpha=90.00 beta=90.00 gamma=120.00
Fractional coordinates of all 9 atoms:
O 0.6667 0.2695 0.2742
Si 0.9362 0.0000 0.6667
Si 0.0638 0.0638 0.0000
O 0.3333 0.6028 0.3925
O 0.2695 0.6667 0.7258
O 0.3972 0.7305 0.0592
O 0.7305 0.3972 0.9408
Si 0.0000 0.9362 0.3333
O 0.6028 0.3333 0.6075

Calculated values
Total moment: 0.00 μB per atom
Uncorrected energy: -7.5868 eV/atom


Density functional theory data (PBE) for crystalline SiO2 at its relaxed geometry.

Unit cell a=5.9308 b=5.9308 c=5.9308 alpha=89.11 beta=89.11 gamma=89.11
Fractional coordinates of all 18 atoms:
Si 0.2500 0.8745 0.6255
O 0.6260 0.1277 0.6249
Si 0.8745 0.6255 0.2500
O 0.3740 0.8723 0.3751
O 0.3723 0.8740 0.8751
O 0.6249 0.6260 0.1277
Si 0.3745 0.7500 0.1255
O 0.8751 0.3723 0.8740
O 0.8740 0.8751 0.3723
O 0.1277 0.6249 0.6260
Si 0.6255 0.2500 0.8745
O 0.8723 0.3751 0.3740
O 0.1260 0.1249 0.6277
O 0.3751 0.3740 0.8723
O 0.1249 0.6277 0.1260
O 0.6277 0.1260 0.1249
Si 0.1255 0.3745 0.7500
Si 0.7500 0.1255 0.3745

Calculated values
Total moment: 0.00 μB per atom
Uncorrected energy: -7.6266 eV/atom


Density functional theory data (PBE) for crystalline Si3O at its relaxed geometry.

Unit cell a=9.1391 b=9.1391 c=8.4252 alpha=81.86 beta=81.86 gamma=26.68
Fractional coordinates of all 16 atoms:
Si 0.7380 0.8665 0.4842
Si 0.4338 0.4653 0.6785
O 0.5000 0.0000 0.0000
Si 0.5347 0.5662 0.8215
Si 0.2620 0.1335 0.5158
Si 0.8661 0.8865 0.7120
Si 0.1135 0.1339 0.7880
Si 0.1335 0.2620 0.0158
Si 0.8865 0.8661 0.2120
O 0.0000 0.5000 0.5000
Si 0.1339 0.1135 0.2880
Si 0.4653 0.4338 0.1785
O 0.5000 0.5000 0.5000
Si 0.8665 0.7380 0.9842
Si 0.5662 0.5347 0.3215
O 0.5000 0.5000 0.0000

Calculated values
Total moment: 0.00 μB per atom
Energy relative to the lowest polymorph listed for this composition: 11 meV/atom
Uncorrected energy: -5.9081 eV/atom


Density functional theory data (PBE) for crystalline SiO2 at its relaxed geometry.

Unit cell a=4.8416 b=4.8416 c=4.8416 alpha=108.96 beta=121.49 gamma=98.79
Fractional coordinates of all 6 atoms:
O 0.8684 0.0189 0.1505
O 0.1316 0.9811 0.8495
Si 0.7500 0.0000 0.7500
O 0.3684 0.7179 0.3495
Si 0.2500 0.0000 0.2500
O 0.6316 0.2821 0.6505

Calculated values
Total moment: 0.00 μB per atom
Uncorrected energy: -7.4960 eV/atom


Density functional theory data (PBE) for crystalline SiO2 at its relaxed geometry.

Unit cell a=7.4338 b=7.4338 c=7.4338 alpha=109.47 beta=109.47 gamma=109.47
Fractional coordinates of all 24 atoms:
Si 0.2846 0.5000 0.0000
O 0.9253 0.6753 0.2500
O 0.0000 0.5000 0.5000
O 0.2500 0.9253 0.6753
O 0.4253 0.1753 0.2500
O 0.0747 0.3247 0.7500
O 0.5747 0.8247 0.7500
O 0.5000 0.0000 0.5000
O 0.1753 0.2500 0.4253
O 0.5000 0.5000 0.0000
Si 0.2154 0.2154 0.2154
Si 0.7846 0.7846 0.7846
O 0.7500 0.0747 0.3247
O 0.7500 0.5747 0.8247
Si 0.0000 0.2846 0.5000
O 0.2500 0.4253 0.1753
O 0.3247 0.7500 0.0747
O 0.8247 0.7500 0.5747
O 0.6753 0.2500 0.9253
Si 0.5000 0.0000 0.2846
Si 0.7154 0.5000 0.0000
Si 0.5000 0.0000 0.7154
Si 0.0000 0.7154 0.5000
O 0.0000 0.0000 0.0000

Calculated values
Total moment: 0.00 μB per atom
Uncorrected energy: -7.8818 eV/atom


Density functional theory data (PBE) for crystalline SiO2 at its relaxed geometry.

Unit cell a=4.1115 b=4.5278 c=5.0830 alpha=90.00 beta=90.00 gamma=90.00
Fractional coordinates of all 12 atoms:
O 0.2309 0.0799 0.8824
Si 0.0000 0.2500 0.1523
O 0.2309 0.5799 0.1176
O 0.7691 0.4201 0.8824
Si 0.5000 0.2500 0.6523
O 0.7309 0.4201 0.3824
O 0.7691 0.9201 0.1176
Si 0.5000 0.7500 0.3477
O 0.2691 0.5799 0.6176
Si 0.0000 0.7500 0.8477
O 0.7309 0.9201 0.6176
O 0.2691 0.0799 0.3824

Calculated values
Total moment: 0.00 μB per atom
Uncorrected energy: -7.6604 eV/atom


Density functional theory data (PBE) for crystalline SiO2 at its relaxed geometry.

Unit cell a=6.0485 b=6.0485 c=4.7705 alpha=90.00 beta=90.00 gamma=92.50
Fractional coordinates of all 12 atoms:
O 0.1637 0.8363 0.2500
O 0.2282 0.2282 0.0000
O 0.0997 0.5092 0.6152
Si 0.3468 0.0154 0.1299
O 0.5092 0.0997 0.3848
O 0.9003 0.4908 0.1152
Si 0.0154 0.3468 0.8701
O 0.7718 0.7718 0.5000
O 0.8363 0.1637 0.7500
Si 0.6532 0.9846 0.6299
Si 0.9846 0.6532 0.3701
O 0.4908 0.9003 0.8848

Calculated values
Total moment: 0.00 μB per atom
Uncorrected energy: -7.8954 eV/atom


Density functional theory data (PBE) for crystalline SiO2 at its relaxed geometry.

Unit cell a=5.0574 b=8.7827 c=8.8751 alpha=90.00 beta=90.00 gamma=90.00
Fractional coordinates of all 24 atoms:
O 0.5000 0.2734 0.5000
O 0.0065 0.0000 0.8001
O 0.5000 0.7266 0.5000
Si 0.0554 0.1808 0.8256
Si 0.9446 0.8192 0.1744
O 0.8596 0.7233 0.7157
O 0.6404 0.7767 0.2157
O 0.8596 0.2767 0.7157
Si 0.5554 0.6808 0.6744
O 0.0000 0.2266 0.0000
O 0.3596 0.7767 0.7843
O 0.1404 0.7233 0.2843
O 0.5065 0.5000 0.6999
O 0.3596 0.2233 0.7843
Si 0.0554 0.8192 0.8256
Si 0.9446 0.1808 0.1744
O 0.4935 0.5000 0.3001
O 0.6404 0.2233 0.2157
O 0.0000 0.7734 0.0000
O 0.1404 0.2767 0.2843
O 0.9935 0.0000 0.1999
Si 0.5554 0.3192 0.6744
Si 0.4446 0.6808 0.3256
Si 0.4446 0.3192 0.3256

Calculated values
Total moment: 0.00 μB per atom
Uncorrected energy: -7.9113 eV/atom


Density functional theory data (PBE) for crystalline SiO2 at its relaxed geometry.

Unit cell a=7.5029 b=7.5029 c=8.9588 alpha=53.63 beta=53.63 gamma=39.30
Fractional coordinates of all 18 atoms:
O 0.2658 0.9272 0.0658
O 0.1338 0.7201 0.7060
O 0.2483 0.3181 0.2024
Si 0.0651 0.6008 0.6598
O 0.6819 0.7517 0.2976
Si 0.3992 0.9349 0.8402
Si 0.0183 0.9817 0.7500
O 0.7517 0.6819 0.7976
Si 0.6008 0.0651 0.1598
O 0.7201 0.1338 0.2060
O 0.7342 0.0728 0.9342
O 0.2799 0.8662 0.7940
Si 0.9349 0.3992 0.3402
O 0.3181 0.2483 0.7024
O 0.9272 0.2658 0.5658
O 0.0728 0.7342 0.4342
O 0.8662 0.2799 0.2940
Si 0.9817 0.0183 0.2500

Calculated values
Total moment: 0.00 μB per atom
Uncorrected energy: -7.9041 eV/atom


Density functional theory data (PBE) for crystalline SiO2 at its relaxed geometry.

Unit cell a=5.0390 b=5.0390 c=5.1322 alpha=119.42 beta=119.42 gamma=90.00
Fractional coordinates of all 6 atoms:
O 0.1254 0.9645 0.7504
Si 0.0000 0.0000 0.0000
Si 0.2500 0.7500 0.5000
O 0.2144 0.8754 0.2504
O 0.0352 0.3750 0.2497
O 0.6250 0.7852 0.7496

Calculated values
Total moment: 0.00 μB per atom
Uncorrected energy: -7.9147 eV/atom


Density functional theory data (PBE) for crystalline SiO2 at its relaxed geometry.

Unit cell a=3.2397 b=3.2397 c=3.2397 alpha=60.00 beta=60.00 gamma=60.00
Fractional coordinates of all 3 atoms:
O 0.2500 0.2500 0.2500
O 0.7500 0.7500 0.7500
Si 0.0000 0.0000 0.0000

Calculated values
Total moment: 0.00 μB per atom
Uncorrected energy: -6.6432 eV/atom


Density functional theory data (PBE) for crystalline SiO2 at its relaxed geometry.

Unit cell a=4.2575 b=4.3312 c=8.0082 alpha=86.74 beta=90.00 gamma=90.00
Fractional coordinates of all 12 atoms:
Si 0.5841 0.5470 0.1949
Si 0.9890 0.8669 0.6781
O 0.7756 0.8853 0.2155
O 0.6641 0.5000 0.0000
O 0.7756 0.1147 0.7845
Si 0.5841 0.4530 0.8051
O 0.2312 0.6377 0.7929
O 0.1454 0.0000 0.5000
O 0.7185 0.3735 0.3658
Si 0.9890 0.1331 0.3219
O 0.2312 0.3623 0.2071
O 0.7185 0.6265 0.6342

Calculated values
Total moment: 0.00 μB per atom
Uncorrected energy: -7.4910 eV/atom


Density functional theory data (PBE) for crystalline SiO2 at its relaxed geometry.

Unit cell a=8.9947 b=8.9947 c=5.2711 alpha=90.00 beta=90.00 gamma=130.22
Fractional coordinates of all 18 atoms:
Si 0.5976 0.9898 0.7500
Si 0.0102 0.4024 0.7500
Si 0.9898 0.5976 0.2500
O 0.0000 0.5000 0.0000
Si 0.4430 0.5570 0.7500
Si 0.4024 0.0102 0.2500
O 0.5000 0.5000 0.5000
O 0.5636 0.7899 0.7500
O 0.5000 0.0000 0.5000
Si 0.5570 0.4430 0.2500
O 0.2101 0.4364 0.7500
O 0.4364 0.2101 0.2500
O 0.5000 0.0000 0.0000
O 0.0000 0.5000 0.5000
O 0.8306 0.1694 0.7500
O 0.5000 0.5000 0.0000
O 0.7899 0.5636 0.2500
O 0.1694 0.8306 0.2500

Calculated values
Total moment: 0.00 μB per atom
Uncorrected energy: -7.9035 eV/atom


Density functional theory data (PBE) for crystalline SiO2 at its relaxed geometry.

Unit cell a=7.7395 b=7.7395 c=7.7395 alpha=106.71 beta=106.71 gamma=115.14
Fractional coordinates of all 24 atoms:
O 0.9163 0.9163 0.2903
O 0.2831 0.0000 0.2831
Si 0.8867 0.2447 0.7678
O 0.7169 0.0000 0.7169
Si 0.7553 0.5231 0.6420
O 0.0000 0.7169 0.7169
O 0.9853 0.2380 0.6076
O 0.0837 0.3740 0.0000
Si 0.8811 0.1133 0.3580
O 0.0000 0.2831 0.2831
Si 0.4769 0.1189 0.2322
O 0.3777 0.6304 0.3924
O 0.2380 0.9853 0.6076
Si 0.2447 0.8867 0.7678
O 0.3740 0.0837 0.0000
O 0.7620 0.3696 0.7473
Si 0.1189 0.4769 0.2322
O 0.6223 0.0147 0.2527
O 0.0147 0.6223 0.2527
O 0.3696 0.7620 0.7473
O 0.6304 0.3777 0.3924
Si 0.1133 0.8811 0.3580
Si 0.5231 0.7553 0.6420
O 0.6260 0.6260 0.7097

Calculated values
Total moment: 0.00 μB per atom
Uncorrected energy: -7.8828 eV/atom


Density functional theory data (PBE) for crystalline SiO2 at its relaxed geometry.

Unit cell a=7.2393 b=7.2393 c=7.2393 alpha=90.00 beta=90.00 gamma=90.00
Fractional coordinates of all 24 atoms:
Si 0.9818 0.5182 0.4818
O 0.3531 0.8531 0.6469
O 0.6396 0.6561 0.0544
O 0.1469 0.1469 0.1469
O 0.3439 0.5544 0.8604
O 0.0544 0.6396 0.6561
Si 0.2242 0.7242 0.7758
O 0.6469 0.3531 0.8531
O 0.5544 0.8604 0.3439
O 0.1396 0.8439 0.9456
O 0.8439 0.9456 0.1396
Si 0.7758 0.2242 0.7242
Si 0.0182 0.0182 0.0182
O 0.9456 0.1396 0.8439
O 0.3604 0.1561 0.4456
O 0.1561 0.4456 0.3604
O 0.6561 0.0544 0.6396
Si 0.5182 0.4818 0.9818
Si 0.2758 0.2758 0.2758
Si 0.4818 0.9818 0.5182
O 0.4456 0.3604 0.1561
Si 0.7242 0.7758 0.2242
O 0.8604 0.3439 0.5544
O 0.8531 0.6469 0.3531

Calculated values
Total moment: 0.00 μB per atom
Uncorrected energy: -7.9096 eV/atom


Density functional theory data (PBE) for crystalline SiO2 at its relaxed geometry.

Unit cell a=6.5843 b=6.5843 c=8.1944 alpha=90.00 beta=90.00 gamma=90.00
Fractional coordinates of all 24 atoms:
Si 0.7597 0.5362 0.5974
O 0.5000 0.0000 0.3797
O 0.6679 0.3321 0.2500
Si 0.5362 0.7597 0.9026
O 0.3053 0.3314 0.4341
Si 0.4638 0.7597 0.4026
O 0.0000 0.5000 0.1203
O 0.5000 0.0000 0.8797
O 0.6686 0.3053 0.5659
O 0.3314 0.3053 0.0659
Si 0.5362 0.2403 0.4026
Si 0.2403 0.5362 0.0974
O 0.6686 0.6947 0.0659
O 0.3321 0.6679 0.2500
Si 0.7597 0.4638 0.0974
O 0.6947 0.6686 0.4341
O 0.0000 0.5000 0.6203
O 0.3053 0.6686 0.9341
O 0.6679 0.6679 0.7500
O 0.6947 0.3314 0.9341
Si 0.2403 0.4638 0.5974
O 0.3321 0.3321 0.7500
Si 0.4638 0.2403 0.9026
O 0.3314 0.6947 0.5659

Calculated values
Total moment: 0.00 μB per atom
Uncorrected energy: -7.7694 eV/atom